Entry 1:
Entry from Alexandria via LeMat-Bulk: VSiO3 after structural relaxation (PBEsol).

The space group is C2/c (No. 15) and the conventional cell measures 9.437, 8.916 and 5.048 Å, with angles of 90.00, 100.79 and 90.00 degrees. Symmetry generates all atoms from V at (0.000, 0.092, 0.250), V at (0.000, 0.281, 0.750), Si at (0.201, 0.409, 0.290), O at (0.121, 0.266, 0.140), O at (0.123, 0.097, 0.645) and O at (0.149, 0.443, 0.587).

For the calculated volume, the calculation gives 10.43 A^3/atom. The value obtained for the size of the total moment is 24.01 μB/cell. The uncorrected formation energy is -1080 kJ/mol of formula units.

---

Entry 2:
Entry from Alexandria via LeMat-Bulk: SbPt2NO after structural relaxation (PBEsol).

The space group is P4/mmm (No. 123) and the conventional cell measures 4.973, 4.973 and 3.942 Å, with angles of 90.00, 90.00 and 90.00 degrees. Symmetry generates all atoms from Sb at (0.000, 0.000, 0.000), Pt at (0.000, 0.500, 0.000), N at (0.000, 0.000, 0.500) and O at (0.500, 0.500, 0.500).

For the calculated volume, the calculation gives 19.50 A^3/atom. The value obtained for the size of the total moment is 1.36 μB/cell. The uncorrected formation energy is 905 kJ/mol of formula units.

---

Entry 3:
Entry from Alexandria via LeMat-Bulk: LaWF2 after structural relaxation (PBEsol).

The space group is R-3m (No. 166, hexagonal axes) and the conventional cell measures 3.0083, 3.0083 and 23.5236 Å, with angles of 90.00, 90.00 and 120.00 degrees. Symmetry generates all atoms from La at (0.0000, 0.0000, 0.0000), W at (0.0000, 0.0000, 0.5000) and F at (0.0000, 0.0000, 0.4102).

For the calculated volume, the calculation gives 15.36 A^3/atom. The value obtained for the size of the total moment is 0.00 μB/cell. The uncorrected formation energy is -526 kJ/mol of formula units.

---

Entry 4:
Entry from Alexandria via LeMat-Bulk: LiY2As after structural relaxation (PBEsol).

The space group is P2/m (No. 10) and the conventional cell measures 3.703, 3.708 and 6.547 Å, with angles of 90.00, 91.02 and 90.00 degrees. Symmetry generates all atoms from Li at (0.000, 0.000, 0.000), Y at (0.487, 0.500, 0.735) and As at (0.000, 0.000, 0.500).

For the calculated volume, the calculation gives 22.47 A^3/atom. The value obtained for the size of the total moment is 0.00 μB/cell. The formation enthalpy at 0 K comes out at -2.417 eV/f.u.

---

Entry 5:
Entry from Alexandria via LeMat-Bulk: AgWAu2 after structural relaxation (PBEsol).

The space group is C2/m (No. 12) and the conventional cell measures 9.169, 2.722 and 5.309 Å, with angles of 90.00, 96.90 and 90.00 degrees. Symmetry generates all atoms from Ag at (0.000, 0.000, 0.000), W at (0.000, 0.500, 0.500) and Au at (0.247, 0.000, 0.741).

For the calculated volume, the calculation gives 16.44 A^3/atom. For the distance to the lowest polymorph of the same formula, the calculation gives 0.069 eV/atom. The value obtained for the size of the total moment is 0.00 μB/cell. The formation enthalpy at 0 K comes out at 1.616 eV/f.u.

---

Entry 6:
Entry from Alexandria via LeMat-Bulk: YBeFe after structural relaxation (PBEsol).

The space group is F-43m (No. 216) and the conventional cell measures 5.814, 5.814 and 5.814 Å, with angles of 90.00, 90.00 and 90.00 degrees. Symmetry generates all atoms from Y at (0.000, 0.000, 0.000), Be at (0.250, 0.250, 0.250) and Fe at (0.000, 0.000, 0.500).

For the calculated volume, the calculation gives 16.38 A^3/atom. For the distance to the lowest polymorph of the same formula, the calculation gives 0.000 eV/atom. The value obtained for the size of the total moment is 2.46 μB/cell. The formation enthalpy at 0 K comes out at 1.542 eV/f.u.

---

Entry 7:
Entry from Alexandria via LeMat-Bulk: Sm3Ho after structural relaxation (PBEsol).

The space group is Pm-3m (No. 221) and the conventional cell measures 4.977, 4.977 and 4.977 Å, with angles of 90.00, 90.00 and 90.00 degrees. Symmetry generates all atoms from Sm at (0.000, 0.000, 0.500) and Ho at (0.500, 0.500, 0.500).

For the calculated volume, the calculation gives 30.82 A^3/atom. For the distance to the lowest polymorph of the same formula, the calculation gives 0.000 eV/atom. The value obtained for the size of the total moment is 0.00 μB/cell. The formation enthalpy at 0 K comes out at 0.026 eV/f.u.

---

Entry 8:
Entry from Alexandria via LeMat-Bulk: BaTa2Cr after structural relaxation (PBEsol).

The space group is R-3m (No. 166, hexagonal axes) and the conventional cell measures 4.1569, 4.1569 and 19.4758 Å, with angles of 90.00, 90.00 and 120.00 degrees. Symmetry generates all atoms from Ba at (0.0000, 0.0000, 0.0000), Ta at (0.0000, 0.0000, 0.2051) and Cr at (0.0000, 0.0000, 0.5000).

For the calculated volume, the calculation gives 24.29 A^3/atom. The value obtained for the size of the total moment is 0.02 μB/cell. The formation enthalpy at 0 K comes out at 3.202 eV/f.u.

---

Entry 9:
Entry from Alexandria via LeMat-Bulk: Ta2IrPb after structural relaxation (PBEsol).

The space group is I-4m2 (No. 119) and the conventional cell measures 3.987, 3.987 and 8.934 Å, with angles of 90.00, 90.00 and 90.00 degrees. Symmetry generates all atoms from Ta at (0.000, 0.000, 0.000), Ta at (0.000, 0.500, 0.250), Ir at (0.000, 0.000, 0.500) and Pb at (0.000, 0.500, 0.750).

For the calculated volume, the calculation gives 17.75 A^3/atom. The value obtained for the size of the total moment is 0.00 μB/cell. The formation enthalpy at 0 K comes out at 0.893 eV/f.u.

---

Entry 10:
Entry from Alexandria via LeMat-Bulk: SiSe2I after structural relaxation (PBEsol).

The space group is R-3m (No. 166, hexagonal axes) and the conventional cell measures 3.8859, 3.8859 and 27.6630 Å, with angles of 90.00, 90.00 and 120.00 degrees. Symmetry generates all atoms from Si at (0.0000, 0.0000, 0.0000), Se at (0.0000, 0.0000, 0.0765) and I at (0.0000, 0.0000, 0.5000).

For the calculated volume, the calculation gives 30.15 A^3/atom. The value obtained for the size of the total moment is 0.00 μB/cell. The uncorrected formation energy is 171 kJ/mol of formula units.

---

Entry 11:
Entry from Alexandria via LeMat-Bulk: MnBeAs2 after structural relaxation (PBEsol).

The space group is Pmmm (No. 47) and the conventional cell measures 3.374, 3.771 and 4.419 Å, with angles of 90.00, 90.00 and 90.00 degrees. Symmetry generates all atoms from Mn at (0.000, 0.000, 0.000), Be at (0.000, 0.500, 0.500), As at (0.500, 0.000, 0.500) and As at (0.500, 0.500, 0.000).

For the calculated volume, the calculation gives 14.06 A^3/atom. For the distance to the lowest polymorph of the same formula, the calculation gives 0.204 eV/atom. The value obtained for the size of the total moment is 2.86 μB/cell. The formation enthalpy at 0 K comes out at 1.171 eV/f.u.

---

Entry 12:
Entry from Alexandria via LeMat-Bulk: Ta2AgW after structural relaxation (PBEsol).

The space group is C2/m (No. 12) and the conventional cell measures 9.474, 2.756 and 5.207 Å, with angles of 90.00, 96.18 and 90.00 degrees. Symmetry generates all atoms from Ta at (0.245, 0.000, 0.252), Ag at (0.000, 0.500, 0.000) and W at (0.000, 0.000, 0.500).

For the calculated volume, the calculation gives 16.90 A^3/atom. For the distance to the lowest polymorph of the same formula, the calculation gives 0.180 eV/atom. The value obtained for the size of the total moment is 0.00 μB/cell. The formation enthalpy at 0 K comes out at 1.443 eV/f.u.

---

Entry 13:
Entry from Alexandria via LeMat-Bulk: ErSnAu after structural relaxation (PBEsol).

The space group is F-43m (No. 216) and the conventional cell measures 6.582, 6.582 and 6.582 Å, with angles of 90.00, 90.00 and 90.00 degrees. Symmetry generates all atoms from Er at (0.000, 0.000, 0.000), Sn at (0.000, 0.000, 0.500) and Au at (0.250, 0.250, 0.750).

For the calculated volume, the calculation gives 23.76 A^3/atom. The value obtained for the size of the total moment is 0.00 μB/cell. The formation enthalpy at 0 K comes out at -2.685 eV/f.u.

---

Entry 14:
Entry from Alexandria via LeMat-Bulk: MgZnMo2 after structural relaxation (PBEsol).

The space group is I4/mmm (No. 139) and the conventional cell measures 3.732, 3.732 and 8.801 Å, with angles of 90.00, 90.00 and 90.00 degrees. Symmetry generates all atoms from Mg at (0.000, 0.000, 0.000), Zn at (0.000, 0.000, 0.500) and Mo at (0.000, 0.500, 0.250).

For the calculated volume, the calculation gives 15.33 A^3/atom. For the distance to the lowest polymorph of the same formula, the calculation gives 0.082 eV/atom. The value obtained for the size of the total moment is 0.00 μB/cell. The formation enthalpy at 0 K comes out at 1.024 eV/f.u.

---

Entry 15:
Entry from Alexandria via LeMat-Bulk: V3P4O16 after structural relaxation (PBEsol).

The space group is P2_1/c (No. 14) and the conventional cell measures 8.156, 5.068 and 15.320 Å, with angles of 90.00, 113.64 and 90.00 degrees. Symmetry generates all atoms from V at (0.000, 0.000, 0.000), V at (0.322, 0.124, 0.304), P at (0.029, 0.505, 0.145), P at (0.428, 0.093, 0.119), O at (0.031, 0.705, 0.934), O at (0.061, 0.723, 0.611), O at (0.125, 0.024, 0.319), O at (0.199, 0.077, 0.730), O at (0.246, 0.103, 0.036), O at (0.408, 0.049, 0.215), O at (0.460, 0.665, 0.877) and O at (0.473, 0.158, 0.894).

For the calculated volume, the calculation gives 12.61 A^3/atom. The value obtained for the size of the total moment is 6.00 μB/cell. The uncorrected formation energy is -4939 kJ/mol of formula units.

---

Entry 16:
Entry from Alexandria via LeMat-Bulk: ScCr2Cl after structural relaxation (PBEsol).

The space group is Cmmm (No. 65) and the conventional cell measures 5.252, 9.129 and 3.088 Å, with angles of 90.00, 90.00 and 90.00 degrees. Symmetry generates all atoms from Sc at (0.000, 0.000, 0.000), Cr at (0.250, 0.250, 0.500) and Cl at (0.000, 0.500, 0.000).

For the calculated volume, the calculation gives 18.50 A^3/atom. For the distance to the lowest polymorph of the same formula, the calculation gives 0.731 eV/atom. The value obtained for the size of the total moment is 15.56 μB/cell. The uncorrected formation energy is 240 kJ/mol of formula units.

---

Entry 17:
Entry from Alexandria via LeMat-Bulk: RbIn2Cl after structural relaxation (PBEsol).

The space group is Fm-3m (No. 225) and the conventional cell measures 7.998, 7.998 and 7.998 Å, with angles of 90.00, 90.00 and 90.00 degrees. Symmetry generates all atoms from Rb at (0.000, 0.000, 0.000), In at (0.250, 0.250, 0.250) and Cl at (0.000, 0.000, 0.500).

For the calculated volume, the calculation gives 31.97 A^3/atom. The value obtained for the size of the total moment is 0.01 μB/cell. The uncorrected formation energy is -20 kJ/mol of formula units.

---

Entry 18:
Entry from Alexandria via LeMat-Bulk: Ba2Ga2Bi after structural relaxation (PBEsol).

The space group is I4/mmm (No. 139) and the conventional cell measures 5.452, 5.452 and 11.773 Å, with angles of 90.00, 90.00 and 90.00 degrees. Symmetry generates all atoms from Ba at (0.000, 0.500, 0.250), Ga at (0.000, 0.000, 0.097) and Bi at (0.000, 0.000, 0.500).

For the calculated volume, the calculation gives 35.00 A^3/atom. The value obtained for the size of the total moment is 0.00 μB/cell. The formation enthalpy at 0 K comes out at -0.602 eV/f.u.

---

Entry 19:
Entry from Alexandria via LeMat-Bulk: MnMoCl2 after structural relaxation (PBEsol).

The space group is C2/m (No. 12) and the conventional cell measures 12.520, 2.997 and 4.307 Å, with angles of 90.00, 97.16 and 90.00 degrees. Symmetry generates all atoms from Mn at (0.000, 0.000, 0.000), Mo at (0.000, 0.500, 0.500) and Cl at (0.144, 0.000, 0.710).

For the calculated volume, the calculation gives 20.04 A^3/atom. The value obtained for the size of the total moment is 4.77 μB/cell. The uncorrected formation energy is -12 kJ/mol of formula units.

---

Entry 20:
Entry from Alexandria via LeMat-Bulk: Ho3Al12Os4 after structural relaxation (PBEsol).

The space group is P6_3/mmc (No. 194) and the conventional cell measures 8.7305, 8.7305 and 9.4979 Å, with angles of 90.00, 90.00 and 120.00 degrees. Symmetry generates all atoms from Ho at (0.1935, 0.3871, 0.2500), Al at (0.0000, 0.0000, 0.2500), Al at (0.1220, 0.5610, 0.7500), Al at (0.1632, 0.3264, 0.5756), Al at (0.3333, 0.6667, 0.0192), Os at (0.0000, 0.0000, 0.0000) and Os at (0.0000, 0.5000, 0.0000).

For the calculated volume, the calculation gives 16.50 A^3/atom. The value obtained for the size of the total moment is 0.00 μB/cell. The formation enthalpy at 0 K comes out at -11.159 eV/f.u.